(1)
PrY3Tm2: optimized geometry, PBE. Values from VASP.

## Properties
As for the total magnetization: 0.00 μB/f.u. As for the volume: 33.14 Å³ per atom. For the formation enthalpy at 0 K, the calculation gives 0.1429 eV/atom. Its space group is Imma (74). Its density of states at the Fermi level is 1.414 states/eV per atom. As for the crystal system: orthorhombic. Its energy above the most stable polymorph in this dataset is 0.12 eV/f.u.

Structure (Quantum ESPRESSO input):
```
&SYSTEM
  ibrav = 0, nat = 12, ntyp = 3
/
ATOMIC_SPECIES
Tm 168.93 Tm.upf
Y 88.91 Y.upf
Pr 140.91 Pr.upf
ATOMIC_POSITIONS crystal
Tm 0.355 0.355 0.710
Tm 0.355 0.855 0.710
Y 0.814 0.064 0.628
Pr 0.745 0.250 0.000
Tm 0.645 0.145 0.290
Pr 0.255 0.750 0.000
Y 0.186 0.936 0.372
Y 0.759 0.750 0.000
Y 0.186 0.436 0.372
Y 0.814 0.564 0.628
Tm 0.645 0.645 0.290
Y 0.241 0.250 0.000
CELL_PARAMETERS angstrom
5.955 0.000 -2.051
-0.955 6.628 -2.771
0.095 0.207 9.946
```

---

(2)
Pr5Y4Tm2: optimized geometry, PBE. Values from VASP.

## Properties
As for the total magnetization: 0.00 μB/f.u. As for the volume: 33.77 Å³ per atom. For the formation enthalpy at 0 K, the calculation gives 0.0754 eV/atom. Its space group is C2/m (12). Its density of states at the Fermi level is 1.407 states/eV per atom. As for the crystal system: monoclinic. Its energy above the most stable polymorph in this dataset is 0.00 eV/f.u.

Structure (Quantum ESPRESSO input):
```
&SYSTEM
  ibrav = 0, nat = 11, ntyp = 3
/
ATOMIC_SPECIES
Y 88.91 Y.upf
Pr 140.91 Pr.upf
Tm 168.93 Tm.upf
ATOMIC_POSITIONS crystal
Y 0.037 0.263 0.075
Pr 0.177 0.073 0.354
Y 0.359 0.205 0.718
Tm 0.284 0.646 0.568
Pr 0.500 0.000 0.000
Y 0.963 0.737 0.925
Y 0.641 0.795 0.282
Tm 0.716 0.354 0.432
Pr 0.902 0.464 0.804
Pr 0.098 0.536 0.196
Pr 0.823 0.927 0.646
CELL_PARAMETERS angstrom
3.506 0.000 -0.662
-0.209 11.664 -1.104
-0.101 0.250 9.078
```

---

(3)
PrY7Tm5: optimized geometry, PBE. Values from VASP.

## Properties
As for the total magnetization: 0.00 μB/f.u. As for the volume: 33.09 Å³ per atom. For the formation enthalpy at 0 K, the calculation gives 0.2385 eV/atom. Its space group is Imm2 (44). Its density of states at the Fermi level is 2.198 states/eV per atom. As for the crystal system: orthorhombic.

Structure (Quantum ESPRESSO input):
```
&SYSTEM
  ibrav = 0, nat = 13, ntyp = 3
/
ATOMIC_SPECIES
Tm 168.93 Tm.upf
Y 88.91 Y.upf
Pr 140.91 Pr.upf
ATOMIC_POSITIONS crystal
Tm 0.534 0.001 0.462
Y 0.263 0.237 0.237
Y 0.521 0.147 0.810
Y 0.020 0.656 0.304
Tm 0.004 0.001 0.462
Tm 0.004 0.462 0.001
Y 0.576 0.424 0.424
Y 0.264 0.736 0.736
Tm 0.776 0.724 0.724
Y 0.020 0.304 0.656
Y 0.521 0.810 0.147
Pr 0.963 0.037 0.037
Tm 0.534 0.462 0.001
CELL_PARAMETERS angstrom
-6.471 -1.563 -0.222
-1.341 -8.357 -2.019
-2.973 -2.963 7.622
```

---

(4)
Pr4Y3Tm: optimized geometry, PBE. Values from VASP.

## Properties
As for the total magnetization: 0.00 μB/f.u. As for the volume: 34.45 Å³ per atom. For the formation enthalpy at 0 K, the calculation gives 0.1630 eV/atom. Its space group is C2/m (12). Its density of states at the Fermi level is 1.736 states/eV per atom. As for the crystal system: monoclinic. Its energy above the most stable polymorph in this dataset is 1.24 eV/f.u.

Structure (Quantum ESPRESSO input):
```
&SYSTEM
  ibrav = 0, nat = 8, ntyp = 3
/
ATOMIC_SPECIES
Y 88.91 Y.upf
Tm 168.93 Tm.upf
Pr 140.91 Pr.upf
ATOMIC_POSITIONS crystal
Y 0.000 0.500 0.000
Tm 0.500 0.000 0.000
Pr 0.259 0.764 0.519
Pr 0.123 0.368 0.246
Pr 0.741 0.236 0.481
Y 0.878 0.118 0.757
Pr 0.877 0.632 0.754
Y 0.122 0.882 0.243
CELL_PARAMETERS angstrom
-2.693 -2.055 0.917
0.072 -2.878 -6.240
8.639 -5.496 6.335
```

---

(5)
Pr6YTm12: optimized geometry, PBE. Values from VASP.

## Properties
As for the total magnetization: 0.00 μB/f.u. As for the volume: 33.47 Å³ per atom. For the formation enthalpy at 0 K, the calculation gives 0.2242 eV/atom. Its space group is R-3m (166). Its density of states at the Fermi level is 1.605 states/eV per atom. As for the crystal system: trigonal. Its energy above the most stable polymorph in this dataset is 1.75 eV/f.u.

Structure (Quantum ESPRESSO input):
```
&SYSTEM
  ibrav = 0, nat = 19, ntyp = 3
/
ATOMIC_SPECIES
Tm 168.93 Tm.upf
Pr 140.91 Pr.upf
Y 88.91 Y.upf
ATOMIC_POSITIONS crystal
Tm 0.355 0.081 0.355
Tm 0.245 0.755 0.500
Pr 0.345 0.901 0.901
Tm 0.919 0.645 0.645
Tm 0.755 0.500 0.245
Pr 0.901 0.345 0.901
Pr 0.901 0.901 0.345
Tm 0.755 0.245 0.500
Tm 0.081 0.355 0.355
Tm 0.645 0.919 0.645
Tm 0.245 0.500 0.755
Pr 0.099 0.655 0.099
Tm 0.355 0.355 0.081
Pr 0.655 0.099 0.099
Tm 0.500 0.755 0.245
Y 0.000 0.000 0.000
Tm 0.645 0.645 0.919
Pr 0.099 0.099 0.655
Tm 0.500 0.245 0.755
CELL_PARAMETERS angstrom
-7.154 -4.621 -1.835
3.644 -0.019 -7.914
4.751 -6.325 3.650
```

---

(6)
Pr5Y3Tm4: optimized geometry, PBE. Values from VASP.

## Properties
As for the total magnetization: 0.27 μB/f.u. As for the volume: 33.87 Å³ per atom. For the formation enthalpy at 0 K, the calculation gives 0.2589 eV/atom. Its space group is C2/m (12). Its density of states at the Fermi level is 1.450 states/eV per atom. As for the crystal system: monoclinic.

Structure (Quantum ESPRESSO input):
```
&SYSTEM
  ibrav = 0, nat = 12, ntyp = 3
/
ATOMIC_SPECIES
Pr 140.91 Pr.upf
Y 88.91 Y.upf
Tm 168.93 Tm.upf
ATOMIC_POSITIONS crystal
Pr 0.275 0.348 0.102
Pr 0.725 0.652 0.898
Y 0.338 0.590 0.734
Tm 0.143 0.114 0.601
Pr 0.437 0.902 0.225
Y 0.000 0.500 0.500
Pr 0.500 0.500 0.500
Tm 0.905 0.223 0.967
Tm 0.857 0.886 0.399
Pr 0.563 0.098 0.775
Y 0.662 0.410 0.266
Tm 0.095 0.777 0.033
CELL_PARAMETERS angstrom
5.710 0.000 0.000
2.855 5.503 -2.956
2.855 -1.761 13.879
```

---

(7)
PrY3Tm2: optimized geometry, PBE. Values from VASP.

## Properties
As for the total magnetization: 0.00 μB/f.u. As for the volume: 32.94 Å³ per atom. For the formation enthalpy at 0 K, the calculation gives 0.1230 eV/atom. Its space group is C2/m (12). Its density of states at the Fermi level is 1.613 states/eV per atom. As for the crystal system: monoclinic. Its energy above the most stable polymorph in this dataset is 0.00 eV/f.u.

Structure (Quantum ESPRESSO input):
```
&SYSTEM
  ibrav = 0, nat = 12, ntyp = 3
/
ATOMIC_SPECIES
Y 88.91 Y.upf
Pr 140.91 Pr.upf
Tm 168.93 Tm.upf
ATOMIC_POSITIONS crystal
Y 0.304 0.285 0.608
Y 0.696 0.715 0.392
Y 0.440 0.557 0.880
Pr 0.683 0.043 0.366
Tm 0.693 0.375 0.387
Tm 0.931 0.858 0.861
Tm 0.069 0.142 0.139
Pr 0.317 0.957 0.634
Y 0.560 0.443 0.120
Tm 0.307 0.625 0.613
Y 0.933 0.234 0.866
Y 0.067 0.766 0.134
CELL_PARAMETERS angstrom
3.516 0.000 0.000
0.000 10.232 -0.545
-1.758 -3.071 11.153
```

---

(8)
Pr7Y3Tm2: optimized geometry, PBE. Values from VASP.

## Properties
As for the total magnetization: 0.00 μB/f.u. As for the volume: 34.47 Å³ per atom. For the formation enthalpy at 0 K, the calculation gives 0.0902 eV/atom. Its space group is P2/m (10). Its density of states at the Fermi level is 1.476 states/eV per atom. As for the crystal system: monoclinic.

Structure (Quantum ESPRESSO input):
```
&SYSTEM
  ibrav = 0, nat = 12, ntyp = 3
/
ATOMIC_SPECIES
Tm 168.93 Tm.upf
Pr 140.91 Pr.upf
Y 88.91 Y.upf
ATOMIC_POSITIONS crystal
Tm 0.500 0.410 0.702
Pr 0.500 0.277 0.535
Y 0.000 0.851 0.633
Pr 0.000 0.000 0.000
Y 0.500 0.500 0.000
Pr 0.500 0.993 0.815
Pr 0.500 0.723 0.465
Pr 0.000 0.470 0.147
Pr 0.500 0.007 0.185
Pr 0.000 0.530 0.853
Tm 0.500 0.590 0.298
Y 0.000 0.149 0.367
CELL_PARAMETERS angstrom
3.647 0.000 0.000
0.000 5.917 -0.255
0.000 -3.813 19.331
```

---

(9)
PrY5Tm6: optimized geometry, PBE. Values from VASP.

## Properties
As for the total magnetization: 0.00 μB/f.u. As for the volume: 31.43 Å³ per atom. For the formation enthalpy at 0 K, the calculation gives 0.0296 eV/atom. Its space group is Cmmm (65). Its density of states at the Fermi level is 1.526 states/eV per atom. As for the crystal system: orthorhombic.

Structure (Quantum ESPRESSO input):
```
&SYSTEM
  ibrav = 0, nat = 12, ntyp = 3
/
ATOMIC_SPECIES
Pr 140.91 Pr.upf
Y 88.91 Y.upf
Tm 168.93 Tm.upf
ATOMIC_POSITIONS crystal
Pr 0.000 0.000 0.000
Y 0.000 0.668 0.665
Tm 0.749 0.084 0.334
Tm 0.251 0.916 0.666
Tm 0.251 0.249 0.000
Tm 0.251 0.582 0.334
Y 0.500 0.500 0.000
Y 0.500 0.833 0.333
Y 0.000 0.332 0.335
Y 0.500 0.167 0.667
Tm 0.749 0.418 0.666
Tm 0.749 0.751 0.000
CELL_PARAMETERS angstrom
-6.739 -2.423 8.610
1.447 -3.746 2.987
4.477 3.012 5.807
```

---

(10)
PrY6Tm: optimized geometry, PBE. Values from VASP.

## Properties
As for the total magnetization: 0.00 μB/f.u. As for the volume: 33.00 Å³ per atom. For the formation enthalpy at 0 K, the calculation gives 0.2032 eV/atom. Its space group is P-1 (2). Its density of states at the Fermi level is 1.825 states/eV per atom. As for the crystal system: triclinic. Its energy above the most stable polymorph in this dataset is 0.42 eV/f.u.

Structure (Quantum ESPRESSO input):
```
&SYSTEM
  ibrav = 0, nat = 8, ntyp = 3
/
ATOMIC_SPECIES
Y 88.91 Y.upf
Tm 168.93 Tm.upf
Pr 140.91 Pr.upf
ATOMIC_POSITIONS crystal
Y 0.545 0.746 0.004
Y 0.455 0.254 0.996
Y 0.908 0.235 0.513
Y 0.092 0.765 0.487
Y 0.568 0.728 0.528
Tm 0.000 0.500 0.000
Pr 0.000 0.000 0.000
Y 0.432 0.272 0.472
CELL_PARAMETERS angstrom
-4.248 -5.269 -0.583
-1.033 0.073 6.504
-6.931 1.053 0.516
```